DFT (PBE) results for a geometry-optimized TlFeCl4 structure.

Its energy relative to the elements, uncorrected is -5.5 eV per formula unit. The energy above the most stable polymorph in this dataset is 0 meV per atom.

The space group is P2_1/m (No. 11) and the conventional cell measures 6.413, 10.013 and 6.462 Å, with angles of 90.00, 99.28 and 90.00 degrees. The asymmetric unit holds Tl at (0.108, 0.250, 0.160), Fe at (0.394, 0.750, 0.332), Cl at (0.238, 0.573, 0.169), Cl at (0.263, 0.250, 0.682) and Cl at (0.362, 0.750, 0.668).